No. 1
A relaxed structure of YEr2Pb9, computed with PBE.

Unit cell a=4.8743 b=4.8743 c=14.6302 alpha=90.00 beta=90.00 gamma=90.00
Positions (direct):
Y1 0.0000 0.0000 0.0000
Er1 0.0000 0.0000 0.3339
Er2 0.0000 0.0000 0.6661
Pb1 0.0000 0.5000 0.1680
Pb2 0.0000 0.5000 0.5000
Pb3 0.0000 0.5000 0.8320
Pb4 0.5000 0.0000 0.1680
Pb5 0.5000 0.0000 0.5000
Pb6 0.5000 0.0000 0.8320
Pb7 0.5000 0.5000 0.0000
Pb8 0.5000 0.5000 0.3340
Pb9 0.5000 0.5000 0.6660

The total energy comes out at -4.3367 eV per atom. As for the formation energy: -0.26 eV per atom. As for the spin magnetization: 0.00 μB per atom.



No. 2
A relaxed structure of La2TlCoPb, computed with PBE.

Unit cell a=5.2797 b=5.2797 c=5.0527 alpha=90.00 beta=90.00 gamma=90.00
Positions (direct):
La1 0.0000 0.5000 0.0000
La2 0.5000 0.0000 0.0000
Tl1 0.0000 0.0000 0.5000
Co1 0.0000 0.0000 0.0000
Pb1 0.5000 0.5000 0.5000

The total energy comes out at -4.9879 eV per atom. As for the formation energy: -0.38 eV per atom. For the energy above the most stable polymorph in this dataset, the calculation gives 0.00 eV per formula unit. As for the spin magnetization: 0.00 μB per atom.



No. 3
A relaxed structure of NaGe2MoI, computed with PBE.

Unit cell a=5.6358 b=5.6358 c=5.1607 alpha=90.00 beta=90.00 gamma=90.00
Positions (direct):
Na1 0.0000 0.0000 0.0000
Ge1 0.0000 0.5000 0.5000
Ge2 0.5000 0.0000 0.5000
Mo1 0.5000 0.5000 0.0000
I1 0.5000 0.5000 0.5000

The total energy comes out at -3.2571 eV per atom. As for the spin magnetization: 0.55 μB per atom.



No. 4
A relaxed structure of KBi3PdAu, computed with PBE.

Unit cell a=8.6364 b=8.6364 c=7.3456 alpha=90.00 beta=90.00 gamma=130.37
Positions (direct):
K1 0.2099 0.7901 0.7500
K2 0.7901 0.2099 0.2500
Bi1 0.2369 0.7631 0.2500
Bi2 0.2460 0.2460 0.0000
Bi3 0.2460 0.2460 0.5000
Bi4 0.7540 0.7540 0.0000
Bi5 0.7540 0.7540 0.5000
Bi6 0.7631 0.2369 0.7500
Pd1 0.0700 0.9300 0.2500
Pd2 0.9300 0.0700 0.7500
Au1 0.4110 0.5890 0.2500
Au2 0.5890 0.4110 0.7500

The total energy comes out at -3.6092 eV per atom. As for the formation energy: -0.07 eV per atom. As for the spin magnetization: 0.00 μB per atom.



No. 5
A relaxed structure of Tm6Mn2Ag, computed with PBE.

Unit cell a=8.2397 b=8.2397 c=8.2397 alpha=111.08 beta=109.98 gamma=107.37
Positions (direct):
Tm1 0.0167 0.8123 0.2045
Tm2 0.2312 0.5220 0.2908
Tm3 0.2312 0.9404 0.7092
Tm4 0.2812 0.3121 0.5933
Tm5 0.2812 0.6879 0.9691
Tm6 0.3922 0.1877 0.2045
Tm7 0.6078 0.8123 0.7955
Tm8 0.7188 0.3121 0.0309
Tm9 0.7188 0.6879 0.4067
Tm10 0.7688 0.0596 0.2908
Tm11 0.7688 0.4780 0.7092
Tm12 0.9833 0.1877 0.7955
Mn1 0.0000 0.1152 0.1152
Mn2 0.0000 0.8848 0.8848
Mn3 0.3935 0.3935 0.0000
Mn4 0.6065 0.6065 0.0000
Ag1 0.0000 0.5000 0.5000
Ag2 0.5000 0.0000 0.5000

The total energy comes out at -5.3724 eV per atom. As for the formation energy: -0.04 eV per atom. As for the spin magnetization: 0.20 μB per atom.



No. 6
A relaxed structure of DyHoSc2Se4, computed with PBE.

Unit cell a=6.8942 b=3.9441 c=6.8984 alpha=90.00 beta=109.13 gamma=90.00
Positions (direct):
Dy1 0.0000 0.0000 0.0000
Ho1 0.5000 0.5000 0.0000
Sc1 0.0000 0.5000 0.5000
Sc2 0.5000 0.0000 0.5000
Se1 0.2462 0.0000 0.7359
Se2 0.2558 0.5000 0.2647
Se3 0.7442 0.5000 0.7353
Se4 0.7538 0.0000 0.2641

The total energy comes out at -6.1304 eV per atom. As for the spin magnetization: 0.00 μB per atom.



No. 7
A relaxed structure of Th2Ni4As3Au, computed with PBE.

Unit cell a=4.1212 b=4.1212 c=10.1254 alpha=90.00 beta=90.00 gamma=90.00
Positions (direct):
Th1 0.0000 0.5000 0.2415
Th2 0.5000 0.0000 0.7585
Ni1 0.0000 0.0000 0.0000
Ni2 0.0000 0.5000 0.6492
Ni3 0.5000 0.0000 0.3508
Ni4 0.5000 0.5000 0.0000
As1 0.0000 0.5000 0.8760
As2 0.5000 0.0000 0.1240
As3 0.5000 0.5000 0.5000
Au1 0.0000 0.0000 0.5000

The total energy comes out at -6.2606 eV per atom. As for the formation energy: -0.74 eV per atom. As for the spin magnetization: 0.00 μB per atom.



No. 8
A relaxed structure of BeNbTc, computed with PBE.

Unit cell a=11.4685 b=3.2191 c=6.6511 alpha=90.00 beta=90.00 gamma=90.00
Positions (direct):
Be1 0.0874 0.0000 0.0528
Be2 0.2500 0.5000 0.5475
Be3 0.4126 0.0000 0.0528
Be4 0.5874 0.0000 0.9472
Be5 0.7500 0.5000 0.4525
Be6 0.9126 0.0000 0.9472
Nb1 0.0518 0.5000 0.7448
Nb2 0.2500 0.5000 0.1564
Nb3 0.4482 0.5000 0.7448
Nb4 0.5518 0.5000 0.2552
Nb5 0.7500 0.5000 0.8436
Nb6 0.9482 0.5000 0.2552
Tc1 0.1208 0.0000 0.4167
Tc2 0.2500 0.0000 0.8049
Tc3 0.3792 0.0000 0.4167
Tc4 0.6208 0.0000 0.5833
Tc5 0.7500 0.0000 0.1951
Tc6 0.8792 0.0000 0.5833

The total energy comes out at -8.3475 eV per atom. As for the formation energy: -0.29 eV per atom. For the energy above the most stable polymorph in this dataset, the calculation gives 0.00 eV per formula unit. As for the spin magnetization: 0.00 μB per atom.



No. 9
A relaxed structure of Nb6C3N, computed with PBE.

Unit cell a=5.4076 b=5.9041 c=9.4881 alpha=90.00 beta=122.91 gamma=90.00
Positions (direct):
Nb1 0.0802 0.0361 0.2513
Nb2 0.0802 0.4639 0.7513
Nb3 0.2482 0.6809 0.0776
Nb4 0.2482 0.8191 0.5776
Nb5 0.4006 0.1814 0.0704
Nb6 0.4006 0.3186 0.5704
Nb7 0.5994 0.6814 0.4296
Nb8 0.5994 0.8186 0.9296
Nb9 0.7518 0.1809 0.4224
Nb10 0.7518 0.3191 0.9224
Nb11 0.9198 0.5361 0.2487
Nb12 0.9198 0.9639 0.7487
C1 0.0000 0.0000 0.0000
C2 0.0000 0.5000 0.5000
C3 0.3158 0.1181 0.7668
C4 0.3158 0.3819 0.2668
C5 0.6842 0.6181 0.7332
C6 0.6842 0.8819 0.2332
N1 0.5000 0.0000 0.5000
N2 0.5000 0.5000 0.0000

The total energy comes out at -10.1558 eV per atom. For the energy above the most stable polymorph in this dataset, the calculation gives 1.03 eV per formula unit. As for the spin magnetization: 0.00 μB per atom.



No. 10
A relaxed structure of Ce3Hg2H2, computed with PBE.

Unit cell a=5.6062 b=5.6062 c=6.5671 alpha=103.73 beta=103.73 gamma=49.46
Positions (direct):
Ce1 0.0000 0.0000 0.0000
Ce2 0.3338 0.3338 0.6368
Ce3 0.6662 0.6662 0.3632
Hg1 0.3334 0.3334 0.1461
Hg2 0.6666 0.6666 0.8539
H1 0.1188 0.1188 0.3722
H2 0.8812 0.8812 0.6278

The total energy comes out at -3.8144 eV per atom. As for the spin magnetization: 0.44 μB per atom.



No. 11
A relaxed structure of AcTb2Pm2, computed with PBE.

Unit cell a=8.8962 b=8.8962 c=4.7308 alpha=105.21 beta=105.21 gamma=30.82
Positions (direct):
Ac1 0.0000 0.0000 0.0000
Tb1 0.2501 0.2501 0.7507
Tb2 0.7499 0.7499 0.2493
Pm1 0.4043 0.4043 0.4033
Pm2 0.5957 0.5957 0.5967

The total energy comes out at -4.2721 eV per atom. As for the formation energy: 0.30 eV per atom. For the energy above the most stable polymorph in this dataset, the calculation gives 1.15 eV per formula unit. As for the spin magnetization: 0.00 μB per atom.



No. 12
A relaxed structure of BaNa2Mn, computed with PBE.

Unit cell a=5.8213 b=5.8213 c=5.8213 alpha=60.00 beta=60.00 gamma=60.00
Positions (direct):
Ba1 0.0000 0.0000 0.0000
Na1 0.2500 0.2500 0.2500
Na2 0.7500 0.7500 0.7500
Mn1 0.5000 0.5000 0.5000

The total energy comes out at -2.9289 eV per atom. As for the formation energy: 0.50 eV per atom. For the energy above the most stable polymorph in this dataset, the calculation gives 0.00 eV per formula unit. As for the spin magnetization: 1.10 μB per atom.